No. 1
Below is MgAl2Cd after structural relaxation, with properties calculated at the PBEsol level. Values from VASP.

Geometry as Quantum ESPRESSO input:
```
&SYSTEM
  ibrav = 0, nat = 4, ntyp = 3
/
ATOMIC_SPECIES
Mg 24.30 Mg.upf
Al 26.98 Al.upf
Cd 112.41 Cd.upf
CELL_PARAMETERS angstrom
2.990 0.000 0.000
0.000 2.990 0.000
0.000 0.000 8.476
ATOMIC_POSITIONS crystal
Mg 0.000 0.000 0.000
Al 0.500 0.500 0.249
Al 0.500 0.500 0.751
Cd 0.000 0.000 0.500
```

- space-group type = P4/mmm
- uncorrected energy (eV/atom) = -2.708

No. 2
Below is SiIrSeBr2 after structural relaxation, with properties calculated at the PBEsol level. Values from VASP.

Geometry as Quantum ESPRESSO input:
```
&SYSTEM
  ibrav = 0, nat = 5, ntyp = 4
/
ATOMIC_SPECIES
Si 28.09 Si.upf
Ir 192.22 Ir.upf
Se 78.96 Se.upf
Br 79.90 Br.upf
CELL_PARAMETERS angstrom
4.779 0.000 0.000
0.000 4.779 0.000
0.000 0.000 4.897
ATOMIC_POSITIONS crystal
Si 0.000 0.000 0.000
Ir 0.500 0.500 0.500
Se 0.000 0.000 0.500
Br 0.000 0.500 0.000
Br 0.500 0.000 0.000
```

- space-group type = P4/mmm
- uncorrected energy (eV/atom) = -3.514

No. 3
Below is PrSiAg after structural relaxation, with properties calculated at the PBEsol level. Values from VASP.

Geometry as Quantum ESPRESSO input:
```
&SYSTEM
  ibrav = 0, nat = 6, ntyp = 3
/
ATOMIC_SPECIES
Pr 140.91 Pr.upf
Si 28.09 Si.upf
Ag 107.87 Ag.upf
CELL_PARAMETERS angstrom
-2.106 2.106 7.522
2.106 -2.106 7.522
2.106 2.106 -7.522
ATOMIC_POSITIONS crystal
Pr 0.000 0.000 0.000
Pr 0.750 0.250 0.500
Si 0.331 0.831 0.500
Si 0.581 0.581 0.000
Ag 0.165 0.665 0.500
Ag 0.415 0.415 0.000
```

- space-group type = I4_1md
- uncorrected energy (eV/atom) = -5.273

No. 4
Below is Sr2SbRu after structural relaxation, with properties calculated at the PBEsol level. Values from VASP.

Geometry as Quantum ESPRESSO input:
```
&SYSTEM
  ibrav = 0, nat = 4, ntyp = 3
/
ATOMIC_SPECIES
Sr 87.62 Sr.upf
Sb 121.76 Sb.upf
Ru 101.07 Ru.upf
CELL_PARAMETERS angstrom
2.240 1.293 8.077
-2.240 1.293 8.077
0.000 -2.587 8.077
ATOMIC_POSITIONS crystal
Sr 0.000 0.000 0.000
Sr 0.170 0.170 0.170
Sb 0.418 0.418 0.418
Ru 0.752 0.752 0.752
```

- space-group type = R3m
- uncorrected energy (eV/atom) = -4.858

No. 5
Below is Zn2FeCo after structural relaxation, with properties calculated at the PBEsol level. Values from VASP.

Geometry as Quantum ESPRESSO input:
```
&SYSTEM
  ibrav = 0, nat = 4, ntyp = 3
/
ATOMIC_SPECIES
Zn 65.41 Zn.upf
Fe 55.84 Fe.upf
Co 58.93 Co.upf
CELL_PARAMETERS angstrom
2.549 0.000 0.000
0.000 2.549 0.000
0.000 0.000 7.253
ATOMIC_POSITIONS crystal
Zn 0.000 0.000 0.243
Zn 0.000 0.000 0.757
Fe 0.500 0.500 0.500
Co 0.500 0.500 0.000
```

- space-group type = P4/mmm
- excess energy over the best structure of this formula in the dataset (kJ/mol of atoms) = 3.6

No. 6
Below is BaCdAs2Se after structural relaxation, with properties calculated at the PBEsol level. Values from VASP.

Geometry as Quantum ESPRESSO input:
```
&SYSTEM
  ibrav = 0, nat = 5, ntyp = 4
/
ATOMIC_SPECIES
Ba 137.33 Ba.upf
Cd 112.41 Cd.upf
As 74.92 As.upf
Se 78.96 Se.upf
CELL_PARAMETERS angstrom
5.761 0.000 0.000
0.000 5.761 0.000
0.000 0.000 5.795
ATOMIC_POSITIONS crystal
Ba 0.000 0.000 0.000
Cd 0.500 0.500 0.500
As 0.000 0.500 0.000
As 0.500 0.000 0.000
Se 0.000 0.000 0.500
```

- space-group type = P4/mmm
- excess energy over the best structure of this formula in the dataset (kJ/mol of atoms) = 107.8

No. 7
Below is Na5C3N6 after structural relaxation, with properties calculated at the PBEsol level. Values from VASP.

Geometry as Quantum ESPRESSO input:
```
&SYSTEM
  ibrav = 0, nat = 14, ntyp = 3
/
ATOMIC_SPECIES
Na 22.99 Na.upf
C 12.01 C.upf
N 14.01 N.upf
CELL_PARAMETERS angstrom
-3.588 3.588 3.588
3.588 -3.588 3.588
3.588 3.588 -3.588
ATOMIC_POSITIONS crystal
Na 0.000 0.000 0.000
Na 0.000 0.000 0.500
Na 0.000 0.500 0.000
Na 0.500 0.000 0.000
Na 0.500 0.500 0.500
C 0.000 0.500 0.500
C 0.500 0.000 0.500
C 0.500 0.500 0.000
N 0.000 0.328 0.328
N 0.000 0.672 0.672
N 0.328 0.000 0.328
N 0.328 0.328 0.000
N 0.672 0.000 0.672
N 0.672 0.672 0.000
```

- space-group type = Im-3m
- uncorrected energy (eV/atom) = -6.599

No. 8
Below is RhPb2Se after structural relaxation, with properties calculated at the PBEsol level. Values from VASP.

Geometry as Quantum ESPRESSO input:
```
&SYSTEM
  ibrav = 0, nat = 4, ntyp = 3
/
ATOMIC_SPECIES
Rh 102.91 Rh.upf
Pb 207.20 Pb.upf
Se 78.96 Se.upf
CELL_PARAMETERS angstrom
-1.700 1.998 6.875
1.700 -1.998 6.875
1.700 1.998 -6.875
ATOMIC_POSITIONS crystal
Rh 0.000 0.000 0.000
Pb 0.168 0.668 0.500
Pb 0.832 0.332 0.500
Se 0.500 0.500 0.000
```

- space-group type = Immm
- uncorrected energy (eV/atom) = -5.034

No. 9
Below is ZrTlP2 after structural relaxation, with properties calculated at the PBEsol level. Values from VASP.

Geometry as Quantum ESPRESSO input:
```
&SYSTEM
  ibrav = 0, nat = 4, ntyp = 3
/
ATOMIC_SPECIES
Zr 91.22 Zr.upf
Tl 204.38 Tl.upf
P 30.97 P.upf
CELL_PARAMETERS angstrom
-1.754 1.859 6.320
1.754 -1.859 6.320
1.754 1.859 -6.320
ATOMIC_POSITIONS crystal
Zr 0.000 0.000 0.000
Tl 0.753 0.253 0.500
P 0.154 0.654 0.500
P 0.448 0.448 0.000
```

- space-group type = Imm2
- excess energy over the best structure of this formula in the dataset (kJ/mol of atoms) = 0.0

No. 10
Below is Be22Re after structural relaxation, with properties calculated at the PBEsol level. Values from VASP.

Geometry as Quantum ESPRESSO input:
```
&SYSTEM
  ibrav = 0, nat = 46, ntyp = 2
/
ATOMIC_SPECIES
Be 9.01 Be.upf
Re 186.21 Re.upf
CELL_PARAMETERS angstrom
0.000 5.729 5.729
5.729 0.000 5.729
5.729 5.729 0.000
ATOMIC_POSITIONS crystal
Be 0.000 0.000 0.000
Be 0.000 0.000 0.500
Be 0.000 0.500 0.000
Be 0.000 0.500 0.500
Be 0.010 0.010 0.740
Be 0.010 0.740 0.010
Be 0.010 0.740 0.740
Be 0.176 0.176 0.443
Be 0.176 0.176 0.705
Be 0.176 0.443 0.176
Be 0.176 0.443 0.705
Be 0.176 0.705 0.176
Be 0.176 0.705 0.443
Be 0.260 0.260 0.990
Be 0.260 0.990 0.260
Be 0.260 0.990 0.990
Be 0.295 0.557 0.824
Be 0.295 0.824 0.557
Be 0.295 0.824 0.824
Be 0.443 0.176 0.176
Be 0.443 0.176 0.705
Be 0.443 0.705 0.176
Be 0.500 0.000 0.000
Be 0.500 0.000 0.500
Be 0.500 0.500 0.000
Be 0.500 0.500 0.500
Be 0.557 0.295 0.824
Be 0.557 0.824 0.295
Be 0.557 0.824 0.824
Be 0.705 0.176 0.176
Be 0.705 0.176 0.443
Be 0.705 0.443 0.176
Be 0.740 0.010 0.010
Be 0.740 0.010 0.740
Be 0.740 0.740 0.010
Be 0.824 0.295 0.557
Be 0.824 0.295 0.824
Be 0.824 0.557 0.295
Be 0.824 0.557 0.824
Be 0.824 0.824 0.295
Be 0.824 0.824 0.557
Be 0.990 0.260 0.260
Be 0.990 0.260 0.990
Be 0.990 0.990 0.260
Re 0.375 0.375 0.375
Re 0.625 0.625 0.625
```

- space-group type = Fd-3m
- uncorrected energy (eV/atom) = -4.464

No. 11
Below is MoRuCl2 after structural relaxation, with properties calculated at the PBEsol level. Values from VASP.

Geometry as Quantum ESPRESSO input:
```
&SYSTEM
  ibrav = 0, nat = 4, ntyp = 3
/
ATOMIC_SPECIES
Mo 95.94 Mo.upf
Ru 101.07 Ru.upf
Cl 35.45 Cl.upf
CELL_PARAMETERS angstrom
-1.492 2.082 6.482
1.492 -2.082 6.482
1.492 2.082 -6.482
ATOMIC_POSITIONS crystal
Mo 0.000 0.000 0.000
Ru 0.500 0.500 0.000
Cl 0.150 0.650 0.500
Cl 0.850 0.350 0.500
```

- space-group type = Immm
- uncorrected energy (eV/atom) = -6.248

No. 12
Below is YSbAs2 after structural relaxation, with properties calculated at the PBEsol level. Values from VASP.

Geometry as Quantum ESPRESSO input:
```
&SYSTEM
  ibrav = 0, nat = 4, ntyp = 3
/
ATOMIC_SPECIES
Y 88.91 Y.upf
Sb 121.76 Sb.upf
As 74.92 As.upf
CELL_PARAMETERS angstrom
0.000 3.566 3.566
3.566 0.000 3.566
3.566 3.566 0.000
ATOMIC_POSITIONS crystal
Y 0.000 0.000 0.000
Sb 0.750 0.750 0.750
As 0.250 0.250 0.250
As 0.500 0.500 0.500
```

- space-group type = F-43m
- uncorrected energy (eV/atom) = -5.577

No. 13
Below is LaTeIO2 after structural relaxation, with properties calculated at the PBEsol level. Values from VASP.

Geometry as Quantum ESPRESSO input:
```
&SYSTEM
  ibrav = 0, nat = 5, ntyp = 4
/
ATOMIC_SPECIES
La 138.91 La.upf
Te 127.60 Te.upf
I 126.90 I.upf
O 16.00 O.upf
CELL_PARAMETERS angstrom
4.340 0.000 0.000
0.000 4.340 0.000
0.000 0.000 5.964
ATOMIC_POSITIONS crystal
La 0.000 0.000 0.000
Te 0.500 0.500 0.500
I 0.500 0.500 0.000
O 0.000 0.500 0.500
O 0.500 0.000 0.500
```

- space-group type = P4/mmm
- excess energy over the best structure of this formula in the dataset (kJ/mol of atoms) = 39.1

No. 14
Below is MgMo2Pt after structural relaxation, with properties calculated at the PBEsol level. Values from VASP.

Geometry as Quantum ESPRESSO input:
```
&SYSTEM
  ibrav = 0, nat = 4, ntyp = 3
/
ATOMIC_SPECIES
Mg 24.30 Mg.upf
Mo 95.94 Mo.upf
Pt 195.08 Pt.upf
CELL_PARAMETERS angstrom
-1.640 2.275 4.225
1.640 -2.275 4.225
1.640 2.275 -4.225
ATOMIC_POSITIONS crystal
Mg 0.000 0.000 0.000
Mo 0.272 0.772 0.500
Mo 0.488 0.488 0.000
Pt 0.746 0.246 0.500
```

- space-group type = Imm2
- uncorrected energy (eV/atom) = -8.008

No. 15
Below is CaCdOs after structural relaxation, with properties calculated at the PBEsol level. Values from VASP.

Geometry as Quantum ESPRESSO input:
```
&SYSTEM
  ibrav = 0, nat = 3, ntyp = 3
/
ATOMIC_SPECIES
Ca 40.08 Ca.upf
Cd 112.41 Cd.upf
Os 190.23 Os.upf
CELL_PARAMETERS angstrom
4.901 0.000 0.000
-2.451 4.244 0.000
0.000 0.000 2.734
ATOMIC_POSITIONS crystal
Ca 0.000 0.000 0.000
Cd 0.333 0.667 0.437
Os 0.667 0.333 0.562
```

- space-group type = P3m1
- excess energy over the best structure of this formula in the dataset (kJ/mol of atoms) = 0.0

No. 16
Below is Al2CuP after structural relaxation, with properties calculated at the PBEsol level. Values from VASP.

Geometry as Quantum ESPRESSO input:
```
&SYSTEM
  ibrav = 0, nat = 4, ntyp = 3
/
ATOMIC_SPECIES
Al 26.98 Al.upf
Cu 63.55 Cu.upf
P 30.97 P.upf
CELL_PARAMETERS angstrom
-1.786 2.116 3.752
1.786 -2.116 3.752
1.786 2.116 -3.752
ATOMIC_POSITIONS crystal
Al 0.246 0.246 0.000
Al 0.754 0.754 0.000
Cu 0.500 0.000 0.500
P 0.000 0.500 0.500
```

- space-group type = Immm
- uncorrected energy (eV/atom) = -4.521

No. 17
Below is Mg2TlHg after structural relaxation, with properties calculated at the PBEsol level. Values from VASP.

Geometry as Quantum ESPRESSO input:
```
&SYSTEM
  ibrav = 0, nat = 4, ntyp = 3
/
ATOMIC_SPECIES
Mg 24.30 Mg.upf
Tl 204.38 Tl.upf
Hg 200.59 Hg.upf
CELL_PARAMETERS angstrom
4.683 -1.738 0.000
4.683 1.738 0.000
-1.253 0.000 5.561
ATOMIC_POSITIONS crystal
Mg 0.245 0.245 0.237
Mg 0.755 0.755 0.763
Tl 0.000 0.000 0.500
Hg 0.500 0.500 0.000
```

- space-group type = C2/m
- uncorrected energy (eV/atom) = -1.808

No. 18
Below is SrCa2I6 after structural relaxation, with properties calculated at the PBEsol level. Values from VASP.

Geometry as Quantum ESPRESSO input:
```
&SYSTEM
  ibrav = 0, nat = 18, ntyp = 3
/
ATOMIC_SPECIES
Sr 87.62 Sr.upf
Ca 40.08 Ca.upf
I 126.90 I.upf
CELL_PARAMETERS angstrom
7.422 0.000 0.000
0.000 7.422 0.000
0.000 0.000 14.086
ATOMIC_POSITIONS crystal
Sr 0.000 0.000 0.000
Sr 0.500 0.500 0.500
Ca 0.000 0.000 0.333
Ca 0.000 0.000 0.667
Ca 0.500 0.500 0.167
Ca 0.500 0.500 0.833
I 0.192 0.192 0.500
I 0.203 0.203 0.173
I 0.203 0.203 0.827
I 0.297 0.703 0.327
I 0.297 0.703 0.673
I 0.308 0.692 0.000
I 0.692 0.308 0.000
I 0.703 0.297 0.327
I 0.703 0.297 0.673
I 0.797 0.797 0.173
I 0.797 0.797 0.827
I 0.808 0.808 0.500
```

- space-group type = P4_2/mnm
- uncorrected energy (eV/atom) = -3.448

No. 19
Below is Y2ZnSe4 after structural relaxation, with properties calculated at the PBEsol level. Values from VASP.

Geometry as Quantum ESPRESSO input:
```
&SYSTEM
  ibrav = 0, nat = 14, ntyp = 3
/
ATOMIC_SPECIES
Y 88.91 Y.upf
Zn 65.41 Zn.upf
Se 78.96 Se.upf
CELL_PARAMETERS angstrom
0.000 5.675 5.675
5.675 0.000 5.675
5.675 5.675 0.000
ATOMIC_POSITIONS crystal
Y 0.000 0.000 0.000
Y 0.000 0.000 0.500
Y 0.000 0.500 0.000
Y 0.500 0.000 0.000
Zn 0.375 0.375 0.375
Zn 0.625 0.625 0.625
Se 0.247 0.751 0.751
Se 0.249 0.249 0.249
Se 0.249 0.249 0.753
Se 0.249 0.753 0.249
Se 0.751 0.247 0.751
Se 0.751 0.751 0.247
Se 0.751 0.751 0.751
Se 0.753 0.249 0.249
```

- space-group type = Fd-3m
- uncorrected energy (eV/atom) = -5.873

No. 20
Below is NbFeSi after structural relaxation, with properties calculated at the PBEsol level. Values from VASP.

Geometry as Quantum ESPRESSO input:
```
&SYSTEM
  ibrav = 0, nat = 6, ntyp = 3
/
ATOMIC_SPECIES
Nb 92.91 Nb.upf
Fe 55.84 Fe.upf
Si 28.09 Si.upf
CELL_PARAMETERS angstrom
1.779 -4.562 0.000
1.779 4.562 0.000
0.000 0.000 4.902
ATOMIC_POSITIONS crystal
Nb 0.210 0.790 0.750
Nb 0.790 0.210 0.250
Fe 0.500 0.500 0.000
Fe 0.500 0.500 0.500
Si 0.083 0.917 0.250
Si 0.917 0.083 0.750
```

- space-group type = Cmcm
- uncorrected energy (eV/atom) = -9.149